Density functional theory data (GGA-PBE) for a relaxed structure of DyEr5N6.

Lattice parameters (Å, degrees): 5.9502 5.9501 5.9509 60.00 80.41 70.54
With the nearest neighbours (Å) after each atom.
Fractional positions:
N 0.7491 0.0836 0.3350  5 Er 2.42-2.43, 1 Dy 2.44
N 0.7491 0.4186 0.6650  5 Er 2.42-2.43, 1 Dy 2.44
N 0.2509 0.5814 0.3350  5 Er 2.42-2.43, 1 Dy 2.44
N 0.2508 0.2514 0.0000  5 Er 2.42-2.43, 1 Dy 2.44
N 0.7492 0.7486 0.0000  5 Er 2.42-2.43, 1 Dy 2.44
N 0.2509 0.9164 0.6650  5 Er 2.42-2.43, 1 Dy 2.44
Er 0.5000 0.8331 0.3338  6 N 2.42-2.43
Er 0.5000 0.1669 0.6662  6 N 2.42-2.43
Er 0.5000 0.5000 0.0000  6 N 2.42-2.43
Er 0.0000 0.3334 0.3333  6 N 2.43
Er 0.0000 0.6666 0.6667  6 N 2.43
Dy 0.0000 0.0000 0.0000  6 N 2.44

Values from the calculation:
For the uncorrected formation energy, the calculation gives -1.771 eV per atom.

***

Density functional theory data (GGA-PBE) for a relaxed structure of Dy2Er4N.

Lattice parameters (Å, degrees): 4.7255 4.7255 9.3733 75.40 75.40 90.00
With the nearest neighbours (Å) after each atom.
Fractional positions:
Dy 0.3300 0.3300 0.3399  9 Er 3.41-3.80
Dy 0.6700 0.6700 0.6601  9 Er 3.41-3.80
Er 0.8676 0.8676 0.2648  1 N 2.32
Er 0.0000 0.5000 0.0000  2 N 2.36
Er 0.1324 0.1324 0.7352  1 N 2.32
Er 0.5000 0.0000 0.0000  2 N 2.36
N 0.0000 0.0000 0.0000  6 Er 2.32-2.36

Values from the calculation:
For the uncorrected formation energy, the calculation gives -0.279 eV per atom.

***

Density functional theory data (GGA-PBE) for a relaxed structure of DyErN2.

Lattice parameters (Å, degrees): 3.3912 3.3912 6.1906 74.10 74.10 60.00
With the nearest neighbours (Å) after each atom.
Fractional positions:
N 0.0816 0.0816 0.7551  3 Er 2.42, 3 Dy 2.44
N 0.2529 0.2529 0.2413  3 Er 2.43, 3 Dy 2.51
Er 0.6681 0.6681 0.9958  6 N 2.42-2.43
Dy 0.4974 0.4974 0.5078  6 N 2.44-2.51

Values from the calculation:
For the uncorrected formation energy, the calculation gives -1.503 eV per atom.

***

Density functional theory data (GGA-PBE) for a relaxed structure of Dy2ErN.

Lattice parameters (Å, degrees): 3.4520 3.4520 9.5804 79.62 79.62 60.00
With the nearest neighbours (Å) after each atom.
Fractional positions:
Er 0.0000 0.0000 0.0000  2 Dy 3.36, 6 Er 3.45
Dy 0.1194 0.1194 0.6417  3 N 2.39
Dy 0.8806 0.8806 0.3583  3 N 2.39
N 0.5000 0.5000 0.5000  6 Dy 2.39

Values from the calculation:
For the uncorrected formation energy, the calculation gives -0.665 eV per atom.

***

Density functional theory data (GGA-PBE) for a relaxed structure of Dy3Er2N4.

Lattice parameters (Å, degrees): 3.4677 3.4677 14.3658 90.06 89.94 120.00
With the nearest neighbours (Å) after each atom.
Fractional positions:
Dy 0.3343 0.6657 0.6164  3 N 2.35
Dy 0.0000 0.0000 0.0000  6 N 2.47
Dy 0.6657 0.3343 0.3836  3 N 2.35
Er 0.6671 0.3329 0.8091  6 N 2.38-2.53
Er 0.3329 0.6671 0.1909  6 N 2.38-2.53
N 0.3336 0.6664 0.8991  3 Er 2.38, 3 Dy 2.47
N 0.0008 0.9992 0.7020  3 Dy 2.35, 3 Er 2.53
N 0.9992 0.0008 0.2980  3 Dy 2.35, 3 Er 2.53
N 0.6664 0.3336 0.1009  3 Er 2.38, 3 Dy 2.47

Values from the calculation:
For the uncorrected formation energy, the calculation gives -1.524 eV per atom.

***

Density functional theory data (GGA-PBE) for a relaxed structure of DyEr3N.

Lattice parameters (Å, degrees): 4.9124 4.9124 4.9124 90.00 90.00 90.00
With the nearest neighbours (Å) after each atom.
Fractional positions:
Er 0.0000 0.5000 0.0000  2 N 2.46
Er 0.0000 0.0000 0.5000  2 N 2.46
Er 0.5000 0.0000 0.0000  2 N 2.46
Dy 0.5000 0.5000 0.5000  12 Er 3.47
N 0.0000 0.0000 0.0000  6 Er 2.46

Values from the calculation:
For the uncorrected formation energy, the calculation gives -0.527 eV per atom.

***

What is the formula in the first record? DyEr5N6